*a*
A plane-wave DFT calculation with PBE was carried out for Pm2Nd3Ho3 after structural relaxation.

a b c (Å): 5.628 12.003 16.119
angles (deg): 90.00 90.00 90.00
Space group Cmcm (No. 63)
Symmetry-distinct sites (fractional):
Pm: 0.000 0.221 0.128 (multiplicity 8)
Nd: 0.000 0.076 0.594 (multiplicity 8)
Nd: 0.000 0.266 0.750 (multiplicity 4)
Ho: 0.000 0.381 0.550 (multiplicity 8)
Ho: 0.000 0.459 0.250 (multiplicity 4)

## Properties
ρ: 7.427 g cm⁻³
Magnetic moment: 0.00 μB/f.u.

***

*b*
A plane-wave DFT calculation with PBE was carried out for Pm2Nd3Ho3 after structural relaxation.

a b c (Å): 5.099 5.119 20.448
angles (deg): 90.00 90.00 90.00
Space group Immm (No. 71)
Symmetry-distinct sites (fractional):
Pm: 0.000 0.000 0.250 (multiplicity 4)
Nd: 0.000 0.000 0.000 (multiplicity 2)
Nd: 0.000 0.500 0.124 (multiplicity 4)
Ho: 0.000 0.000 0.500 (multiplicity 2)
Ho: 0.000 0.500 0.375 (multiplicity 4)

## Properties
ρ: 7.576 g cm⁻³
Magnetic moment: 0.00 μB/f.u.

***

Ranking the structures above by stability puts *b* first and *a* last.